1.
## AlVN2O (PBE with a Hubbard U)

Data for crystalline AlVN2O at its relaxed geometry.

Results
**Space group**: P4/mmm, No. 123
**Volume**: 52 Å³/f.u.
**E**: -33.0 eV for the cell shown

Lattice parameters (Å, degrees): 3.759 3.759 3.677 90.00 90.00 90.00
Each line ends with the local moment (μB).
Atoms (fractional coordinates):
N 0.000 0.500 0.000  -0.59
N 0.500 0.000 0.000  -0.59
Al 0.000 0.000 0.000  0.02
O 0.000 0.000 0.500  -0.31
V 0.500 0.500 0.500  2.35

=====

2.
## AlVNO2 (PBE with a Hubbard U)

Data for crystalline AlVNO2 at its relaxed geometry.

Results
**Space group**: P4/mmm, No. 123
**Volume**: 55 Å³/f.u.
**E**: -32.7 eV for the cell shown

Lattice parameters (Å, degrees): 3.666 3.666 4.065 90.00 90.00 90.00
Each line ends with the local moment (μB).
Atoms (fractional coordinates):
N 0.000 0.000 0.500  0.01
Al 0.500 0.500 0.500  -0.01
O 0.000 0.500 0.000  0.01
O 0.500 0.000 0.000  0.01
V 0.000 0.000 0.000  -0.16

=====

3.
## AlVN2O (PBE with a Hubbard U)

Data for crystalline AlVN2O at its relaxed geometry.

Results
**Space group**: P4/mmm, No. 123
**Volume**: 54 Å³/f.u.
**E**: -32.5 eV for the cell shown

Lattice parameters (Å, degrees): 3.865 3.865 3.640 90.00 90.00 90.00
Each line ends with the local moment (μB).
Atoms (fractional coordinates):
N 0.000 0.500 0.000  0.12
N 0.500 0.000 0.000  0.12
Al 0.500 0.500 0.500  -0.02
O 0.000 0.000 0.500  0.03
V 0.000 0.000 0.000  -0.24

=====

4.
## AlWNO2 (PBE with a Hubbard U)

Data for crystalline AlWNO2 at its relaxed geometry.

Results
**Space group**: P4/mmm, No. 123
**Volume**: 63 Å³/f.u.
**E**: -32.8 eV for the cell shown

Lattice parameters (Å, degrees): 3.955 4.043 3.955 90.00 90.00 90.00
Each line ends with the local moment (μB).
Atoms (fractional coordinates):
O 0.000 0.000 0.500  0.02
O 0.500 0.000 0.000  0.05
Al 0.500 0.500 0.500  0.00
W 0.000 0.000 0.000  -0.52
N 0.000 0.500 0.000  0.09

=====

5.
## AlWN2O (PBE with a Hubbard U)

Data for crystalline AlWN2O at its relaxed geometry.

Results
**Space group**: P4/mmm, No. 123
**Volume**: 63 Å³/f.u.
**E**: -33.0 eV for the cell shown

Lattice parameters (Å, degrees): 4.023 4.023 3.863 90.00 90.00 90.00
Atoms (fractional coordinates):
O 0.000 0.000 0.500
Al 0.500 0.500 0.500
W 0.000 0.000 0.000
N 0.000 0.500 0.000
N 0.500 0.000 0.000

=====

6.
## AlWN2O (PBE with a Hubbard U)

Data for crystalline AlWN2O at its relaxed geometry.

Results
**Space group**: P4/mmm, No. 123
**Volume**: 51 Å³/f.u.
**E**: -32.5 eV for the cell shown

Lattice parameters (Å, degrees): 3.758 3.758 3.576 90.00 90.00 90.00
Each line ends with the local moment (μB).
Atoms (fractional coordinates):
O 0.000 0.000 0.500  -0.19
Al 0.000 0.000 0.000  0.01
W 0.500 0.500 0.500  2.19
N 0.000 0.500 0.000  -0.36
N 0.500 0.000 0.000  -0.36

=====

7.
## AlWNO2 (PBE with a Hubbard U)

Data for crystalline AlWNO2 at its relaxed geometry.

Results
**Space group**: P4/mmm, No. 123
**Volume**: 50 Å³/f.u.
**E**: -32.9 eV for the cell shown

Lattice parameters (Å, degrees): 3.556 3.556 3.952 90.00 90.00 90.00
Each line ends with the local moment (μB).
Atoms (fractional coordinates):
O 0.000 0.500 0.000  -0.17
O 0.500 0.000 0.000  -0.17
Al 0.000 0.000 0.000  0.01
W 0.500 0.500 0.500  2.37
N 0.000 0.000 0.500  -0.17

=====

Question: volume of number 5 (AlWN2O)?
Answer: 63 Å³/f.u.

=====

Question: Number 6 is which compound?
Answer: AlWN2O